KSr2VF8 | PBE with a Hubbard U | optimized geometry

a = 4.3681 Å, b = 5.5639 Å, c = 7.9367 Å
α = 90.00°, β = 90.00°, γ = 97.98°
Closest atoms and distances in Å follow each position.
Sites, in units of the cell vectors:
F 0.4629 0.7318 0.5000  2 Sr 2.41, 2 K 2.60-2.67, 1 F 2.64
F 0.4079 0.2140 0.0000  1 V 2.00
F 0.5371 0.2682 0.5000  2 Sr 2.41, 2 K 2.60-2.67, 1 F 2.64
Sr 0.5002 0.5000 0.2461  6 F 2.41-2.63
F 0.0598 0.7674 0.1896  1 V 2.02
F 0.0598 0.7677 0.8104  1 V 2.02
F 0.9402 0.2326 0.8104  1 V 2.02
Sr 0.4998 0.5000 0.7539  6 F 2.41-2.63
F 0.9402 0.2323 0.1896  1 V 2.02
F 0.5921 0.7860 0.0000  1 V 2.00
V 0.0000 0.0000 0.0000  6 F 2.00-2.02
K 0.0000 0.0000 0.5000  8 F 2.60-2.81

Output
space group: No. 10
E: -5.600 eV/atom
density of states at the Fermi level: 0.00 states/eV per atom